Compound: Dy5AlAu4
Source: Alexandria via LeMat-Bulk
Functional: GGA-PBE
Structure: optimized geometry

The structure in CIF format:
```
data_Dy5AlAu4
_chemical_formula_sum 'Dy5 Al1 Au4'
_symmetry_space_group_name_H-M 'P 4/m m m'
_symmetry_Int_Tables_number 123
_symmetry_space_group_name_Hall '-P 4 2'
_cell_length_a 3.582
_cell_length_b 3.582
_cell_length_c 18.190
_cell_angle_alpha 90.00
_cell_angle_beta 90.00
_cell_angle_gamma 90.00
loop_
_atom_site_label
_atom_site_type_symbol
_atom_site_fract_x
_atom_site_fract_y
_atom_site_fract_z
Dy1 Dy 0.000 0.000 0.000
Dy2 Dy 0.000 0.000 0.200
Dy3 Dy 0.000 0.000 0.398
Al1 Al 0.500 0.500 0.500
Au1 Au 0.500 0.500 0.099
Au2 Au 0.500 0.500 0.302
```

Compound: Dy2Al5Au
Source: Alexandria via LeMat-Bulk
Functional: GGA-PBE
Structure: optimized geometry

The structure in CIF format:
```
data_Dy2Al5Au
_chemical_formula_sum 'Dy4 Al10 Au2'
_symmetry_space_group_name_H-M 'I 4/m m m'
_symmetry_Int_Tables_number 139
_symmetry_space_group_name_Hall '-I 4 2'
_cell_length_a 6.064
_cell_length_b 6.064
_cell_length_c 8.471
_cell_angle_alpha 90.00
_cell_angle_beta 90.00
_cell_angle_gamma 90.00
loop_
_atom_site_label
_atom_site_type_symbol
_atom_site_fract_x
_atom_site_fract_y
_atom_site_fract_z
Dy1 Dy 0.000 0.500 0.000
Al1 Al 0.000 0.000 0.000
Al2 Al 0.250 0.250 0.250
Au1 Au 0.000 0.000 0.500
```

Compound: DyAl3Au3
Source: Alexandria via LeMat-Bulk
Functional: GGA-PBE
Structure: optimized geometry

The structure in CIF format:
```
data_DyAl3Au3
_chemical_formula_sum 'Dy2 Al6 Au6'
_symmetry_space_group_name_H-M 'P 1 21/m 1'
_symmetry_Int_Tables_number 11
_cell_length_a 7.369
_cell_length_b 4.477
_cell_length_c 8.913
_cell_angle_alpha 90.00
_cell_angle_beta 108.20
_cell_angle_gamma 90.00
loop_
_symmetry_equiv_pos_as_xyz
'x,y,z'
'-x,-y,-z'
'-x,y+1/2,-z'
'x,-y+1/2,z'
loop_
_atom_site_label
_atom_site_type_symbol
_atom_site_fract_x
_atom_site_fract_y
_atom_site_fract_z
Dy1 Dy 0.208 0.250 0.280
Al1 Al 0.120 0.250 0.906
Al2 Al 0.222 0.750 0.745
Al3 Al 0.461 0.250 0.714
Au1 Au 0.029 0.250 0.606
Au2 Au 0.229 0.750 0.045
Au3 Au 0.393 0.750 0.541
```

Results
Relative energy among the computed polymorphs = 0.0 meV/atom

Calculated E_tot, -4.7522, -4.3671, -4.1950 eV/atom (same order as the records).
Calculated energy of formation, -0.77, -0.47, -0.53 eV/atom (same order as the records).